No. 1
Here is TlV2Zn2O7 after structural relaxation from the Alexandria database. Energies are from PBE+U.

The structure in POSCAR format:
```
TlV2Zn2O7
1.0
2.894 1.671 8.301
-2.894 1.671 8.301
0.000 -3.342 8.301
Tl V Zn O
1 2 2 7
direct
0.000 0.000 0.000 Tl
0.428 0.428 0.428 V
0.572 0.572 0.572 V
0.260 0.260 0.260 Zn
0.740 0.740 0.740 Zn
0.094 0.455 0.662 O
0.338 0.545 0.906 O
0.455 0.662 0.094 O
0.500 0.500 0.500 O
0.545 0.906 0.338 O
0.662 0.094 0.455 O
0.906 0.338 0.545 O
```

Volume = 20.1 Å³/atom
Electronic total energy = -6.06 eV/atom
Space-group type = R32, No. 155
Size of the total moment = 0.083 μB per atom

=====

No. 2
Here is Tl2VZnO4 after structural relaxation from the Alexandria database. Energies are from PBE+U.

The structure in POSCAR format:
```
Tl2VZnO4
1.0
6.478 0.000 0.000
0.000 8.088 0.000
0.000 0.000 5.543
Tl V Zn O
4 2 2 8
direct
0.248 0.121 0.000 Tl
0.252 0.879 0.500 Tl
0.748 0.879 0.500 Tl
0.752 0.121 0.000 Tl
0.000 0.613 0.985 V
0.500 0.387 0.485 V
0.000 0.378 0.485 Zn
0.500 0.622 0.985 Zn
0.000 0.423 0.131 O
0.000 0.586 0.674 O
0.228 0.724 0.064 O
0.272 0.276 0.564 O
0.500 0.414 0.174 O
0.500 0.577 0.631 O
0.728 0.276 0.564 O
0.772 0.724 0.064 O
```

Volume = 18.2 Å³/atom
Electronic total energy = -5.45 eV/atom
Space-group type = Pmn2_1, No. 31
Size of the total moment = 0.000 μB per atom

=====

No. 3
Here is TlW3O9 after structural relaxation from the Alexandria database. Energies are from PBE+U.

The structure in POSCAR format:
```
TlW3O9
1.0
7.537 0.000 0.000
-3.768 6.527 0.000
0.000 0.000 3.873
Tl W O
1 3 9
direct
0.000 0.000 0.000 Tl
0.000 0.500 0.648 W
0.500 0.000 0.648 W
0.500 0.500 0.648 W
0.000 0.500 0.150 O
0.211 0.421 0.651 O
0.211 0.789 0.651 O
0.421 0.211 0.651 O
0.500 0.000 0.150 O
0.500 0.500 0.150 O
0.579 0.789 0.651 O
0.789 0.211 0.651 O
0.789 0.579 0.651 O
```

Volume = 14.7 Å³/atom
Electronic total energy = -7.17 eV/atom
Energy relative to the lowest polymorph listed for this composition = 0 meV/atom
Space-group type = P6mm, No. 183
Size of the total moment = 0.021 μB per atom

=====

No. 4
Here is Tl2W3O9 after structural relaxation from the Alexandria database. Energies are from PBE+U.

The structure in POSCAR format:
```
Tl2W3O9
1.0
4.784 -7.809 0.000
4.784 7.809 0.000
-4.384 0.000 7.763
Tl W O
4 6 18
direct
0.073 0.761 0.715 Tl
0.239 0.927 0.285 Tl
0.761 0.073 0.715 Tl
0.927 0.239 0.285 Tl
0.228 0.449 0.795 W
0.318 0.318 0.118 W
0.449 0.228 0.795 W
0.551 0.772 0.205 W
0.682 0.682 0.882 W
0.772 0.551 0.205 W
0.026 0.405 0.642 O
0.141 0.312 0.933 O
0.186 0.186 0.205 O
0.251 0.251 0.681 O
0.312 0.141 0.933 O
0.327 0.673 0.000 O
0.391 0.562 0.247 O
0.405 0.026 0.642 O
0.438 0.609 0.753 O
0.562 0.391 0.247 O
0.595 0.974 0.358 O
0.609 0.438 0.753 O
0.673 0.327 0.000 O
0.688 0.859 0.067 O
0.749 0.749 0.319 O
0.814 0.814 0.795 O
0.859 0.688 0.067 O
0.974 0.595 0.358 O
```

Volume = 20.7 Å³/atom
Electronic total energy = -6.67 eV/atom
Space-group type = C2/m, No. 12
Size of the total moment = 0.143 μB per atom

=====

No. 5
Here is Tl3W2O8 after structural relaxation from the Alexandria database. Energies are from PBE+U.

The structure in POSCAR format:
```
Tl3W2O8
1.0
3.144 1.815 7.176
-3.144 1.815 7.176
0.000 -3.630 7.176
Tl W O
3 2 8
direct
0.000 0.000 0.000 Tl
0.188 0.188 0.188 Tl
0.812 0.812 0.812 Tl
0.393 0.393 0.393 W
0.607 0.607 0.607 W
0.260 0.260 0.740 O
0.260 0.740 0.260 O
0.260 0.740 0.740 O
0.310 0.310 0.310 O
0.690 0.690 0.690 O
0.740 0.260 0.260 O
0.740 0.260 0.740 O
0.740 0.740 0.260 O
```

Volume = 18.9 Å³/atom
Electronic total energy = -6.15 eV/atom
Space-group type = R-3m, No. 166
Size of the total moment = 0.036 μB per atom

=====

No. 6
Here is Tl3WO after structural relaxation from the Alexandria database. Energies are from PBE+U.

The structure in POSCAR format:
```
Tl3WO
1.0
5.050 0.000 0.000
0.000 5.050 0.000
0.000 0.000 5.050
Tl W O
3 1 1
direct
0.000 0.000 0.500 Tl
0.000 0.500 0.000 Tl
0.500 0.000 0.000 Tl
0.500 0.500 0.500 W
0.000 0.000 0.000 O
```

Volume = 25.8 Å³/atom
Electronic total energy = -3.31 eV/atom
Energy relative to the lowest polymorph listed for this composition = 0 meV/atom
Space-group type = Pm-3m, No. 221
Size of the total moment = 0.948 μB per atom

=====

No. 7
Here is Tl2WO4 after structural relaxation from the Alexandria database. Energies are from PBE+U.

The structure in POSCAR format:
```
Tl2WO4
1.0
6.437 0.000 0.000
-3.219 5.575 0.000
0.000 0.000 8.460
Tl W O
4 2 8
direct
0.000 0.000 0.000 Tl
0.000 0.000 0.500 Tl
0.333 0.667 0.314 Tl
0.667 0.333 0.686 Tl
0.333 0.667 0.813 W
0.667 0.333 0.187 W
0.180 0.360 0.739 O
0.180 0.820 0.739 O
0.333 0.667 0.028 O
0.360 0.180 0.261 O
0.640 0.820 0.739 O
0.667 0.333 0.972 O
0.820 0.180 0.261 O
0.820 0.640 0.261 O
```

Volume = 21.7 Å³/atom
Electronic total energy = -6.03 eV/atom
Energy relative to the lowest polymorph listed for this composition = 5 meV/atom
Space-group type = P-3m1, No. 164
Size of the total moment = 0.000 μB per atom

=====

No. 8
Here is TlW3O after structural relaxation from the Alexandria database. Energies are from PBE+U.

The structure in POSCAR format:
```
TlW3O
1.0
4.305 0.000 0.000
0.000 4.305 0.000
0.000 0.000 4.305
Tl W O
1 3 1
direct
0.000 0.000 0.000 Tl
0.000 0.500 0.500 W
0.500 0.000 0.500 W
0.500 0.500 0.000 W
0.500 0.500 0.500 O
```

Volume = 16.0 Å³/atom
Electronic total energy = -4.85 eV/atom
Energy relative to the lowest polymorph listed for this composition = 0 meV/atom
Space-group type = Pm-3m, No. 221
Size of the total moment = 0.077 μB per atom

=====

No. 9
Here is TlW6O18 after structural relaxation from the Alexandria database. Energies are from PBE+U.

The structure in POSCAR format:
```
TlW6O18
1.0
7.521 0.000 0.000
-3.761 6.514 0.000
0.000 0.000 7.726
Tl W O
1 6 18
direct
0.000 0.000 0.000 Tl
0.000 0.500 0.251 W
0.000 0.500 0.749 W
0.500 0.000 0.251 W
0.500 0.000 0.749 W
0.500 0.500 0.251 W
0.500 0.500 0.749 W
0.000 0.500 0.000 O
0.000 0.500 0.500 O
0.212 0.424 0.248 O
0.212 0.424 0.752 O
0.212 0.788 0.248 O
0.212 0.788 0.752 O
0.424 0.212 0.248 O
0.424 0.212 0.752 O
0.500 0.000 0.000 O
0.500 0.000 0.500 O
0.500 0.500 0.000 O
0.500 0.500 0.500 O
0.576 0.788 0.248 O
0.576 0.788 0.752 O
0.788 0.212 0.248 O
0.788 0.212 0.752 O
0.788 0.576 0.248 O
0.788 0.576 0.752 O
```

Volume = 15.1 Å³/atom
Electronic total energy = -7.35 eV/atom
Space-group type = P6/mmm, No. 191
Size of the total moment = 0.018 μB per atom

=====

No. 10
Here is Tl2WO4 after structural relaxation from the Alexandria database. Energies are from PBE+U.

The structure in POSCAR format:
```
Tl2WO4
1.0
8.304 0.000 0.000
0.000 6.294 0.000
0.000 0.000 11.934
Tl W O
8 4 16
direct
0.021 0.250 0.240 Tl
0.182 0.250 0.562 Tl
0.318 0.750 0.062 Tl
0.479 0.750 0.740 Tl
0.521 0.250 0.260 Tl
0.682 0.250 0.938 Tl
0.818 0.750 0.438 Tl
0.979 0.750 0.760 Tl
0.199 0.250 0.930 W
0.301 0.750 0.430 W
0.699 0.250 0.570 W
0.801 0.750 0.070 W
0.017 0.750 0.092 O
0.213 0.510 0.370 O
0.213 0.990 0.370 O
0.246 0.250 0.079 O
0.254 0.750 0.579 O
0.287 0.010 0.870 O
0.287 0.490 0.870 O
0.483 0.250 0.592 O
0.517 0.750 0.408 O
0.713 0.510 0.130 O
0.713 0.990 0.130 O
0.746 0.250 0.421 O
0.754 0.750 0.921 O
0.787 0.010 0.630 O
0.787 0.490 0.630 O
0.983 0.250 0.908 O
```

Volume = 22.3 Å³/atom
Electronic total energy = -6.03 eV/atom
Energy relative to the lowest polymorph listed for this composition = 0 meV/atom
Space-group type = Pnma, No. 62
Size of the total moment = 0.000 μB per atom

=====

No. 11
Here is Tl2W3O10 after structural relaxation from the Alexandria database. Energies are from PBE+U.

The structure in POSCAR format:
```
Tl2W3O10
1.0
9.282 -3.022 0.000
9.282 3.022 0.000
-3.593 0.000 8.874
Tl W O
4 6 20
direct
0.092 0.092 0.208 Tl
0.194 0.194 0.858 Tl
0.806 0.806 0.142 Tl
0.908 0.908 0.792 Tl
0.254 0.746 0.500 W
0.314 0.314 0.484 W
0.404 0.404 0.938 W
0.596 0.596 0.062 W
0.686 0.686 0.516 W
0.746 0.254 0.500 W
0.000 0.500 0.500 O
0.028 0.028 0.642 O
0.128 0.584 0.988 O
0.175 0.620 0.505 O
0.279 0.279 0.287 O
0.303 0.697 0.000 O
0.364 0.364 0.728 O
0.380 0.825 0.495 O
0.416 0.872 0.012 O
0.470 0.470 0.355 O
0.500 0.000 0.500 O
0.530 0.530 0.645 O
0.584 0.128 0.988 O
0.620 0.175 0.505 O
0.636 0.636 0.272 O
0.697 0.303 0.000 O
0.721 0.721 0.713 O
0.825 0.380 0.495 O
0.872 0.416 0.012 O
0.972 0.972 0.358 O
```

Volume = 16.6 Å³/atom
Electronic total energy = -6.75 eV/atom
Space-group type = C2/m, No. 12
Size of the total moment = 0.000 μB per atom

=====

No. 12
Here is Tl6WO12 after structural relaxation from the Alexandria database. Energies are from PBE+U.

The structure in POSCAR format:
```
Tl6WO12
1.0
4.963 2.866 3.183
-4.963 2.866 3.183
0.000 -5.731 3.183
Tl W O
6 1 12
direct
0.104 0.809 0.635 Tl
0.191 0.365 0.896 Tl
0.365 0.896 0.191 Tl
0.635 0.104 0.809 Tl
0.809 0.635 0.104 Tl
0.896 0.191 0.365 Tl
0.500 0.500 0.500 W
0.083 0.900 0.325 O
0.100 0.675 0.917 O
0.211 0.409 0.537 O
0.325 0.083 0.900 O
0.409 0.537 0.211 O
0.463 0.789 0.591 O
0.537 0.211 0.409 O
0.591 0.463 0.789 O
0.675 0.917 0.100 O
0.789 0.591 0.463 O
0.900 0.325 0.083 O
0.917 0.100 0.675 O
```

Volume = 14.3 Å³/atom
Electronic total energy = -5.20 eV/atom
Space-group type = R-3, No. 148
Size of the total moment = 0.000 μB per atom

=====

No. 13
Here is TlW2O6 after structural relaxation from the Alexandria database. Energies are from PBE+U.

The structure in POSCAR format:
```
TlW2O6
1.0
0.000 5.239 5.239
5.239 0.000 5.239
5.239 5.239 0.000
Tl W O
2 4 12
direct
0.125 0.125 0.125 Tl
0.875 0.875 0.875 Tl
0.000 0.500 0.500 W
0.500 0.000 0.500 W
0.500 0.500 0.000 W
0.500 0.500 0.500 W
0.188 0.188 0.562 O
0.188 0.562 0.188 O
0.188 0.562 0.562 O
0.438 0.438 0.812 O
0.438 0.812 0.438 O
0.438 0.812 0.812 O
0.562 0.188 0.188 O
0.562 0.188 0.562 O
0.562 0.562 0.188 O
0.812 0.438 0.438 O
0.812 0.438 0.812 O
0.812 0.812 0.438 O
```

Volume = 16.0 Å³/atom
Electronic total energy = -6.96 eV/atom
Space-group type = Fd-3m, No. 227
Size of the total moment = 0.111 μB per atom

=====

No. 14
Here is Tl4WO5 after structural relaxation from the Alexandria database. Energies are from PBE+U.

The structure in POSCAR format:
```
Tl4WO5
1.0
-4.927 4.927 1.978
4.927 -4.927 1.978
4.927 4.927 -1.978
Tl W O
4 1 5
direct
0.094 0.699 0.793 Tl
0.301 0.094 0.395 Tl
0.699 0.906 0.605 Tl
0.906 0.301 0.207 Tl
0.503 0.503 0.000 W
0.000 0.000 0.000 O
0.358 0.359 0.719 O
0.359 0.640 0.001 O
0.639 0.358 0.999 O
0.640 0.639 0.281 O
```

Volume = 19.2 Å³/atom
Electronic total energy = -5.39 eV/atom
Space-group type = I4, No. 79
Size of the total moment = 0.000 μB per atom

=====

No. 15
Here is TlW4O12 after structural relaxation from the Alexandria database. Energies are from PBE+U.

The structure in POSCAR format:
```
TlW4O12
1.0
-3.914 3.914 3.914
3.914 -3.914 3.914
3.914 3.914 -3.914
Tl W O
1 4 12
direct
0.000 0.000 0.000 Tl
0.000 0.000 0.500 W
0.000 0.500 0.000 W
0.500 0.000 0.000 W
0.500 0.500 0.500 W
0.000 0.251 0.749 O
0.000 0.749 0.251 O
0.251 0.000 0.749 O
0.251 0.251 0.502 O
0.251 0.502 0.251 O
0.251 0.749 0.000 O
0.498 0.749 0.749 O
0.502 0.251 0.251 O
0.749 0.000 0.251 O
0.749 0.251 0.000 O
0.749 0.498 0.749 O
0.749 0.749 0.498 O
```

Volume = 14.1 Å³/atom
Electronic total energy = -7.17 eV/atom
Space-group type = Im-3m, No. 229
Size of the total moment = 0.039 μB per atom

=====

No. 16
Here is TlW2O8 after structural relaxation from the Alexandria database. Energies are from PBE+U.

The structure in POSCAR format:
```
TlW2O8
1.0
6.683 0.000 0.000
-3.342 5.788 0.000
0.000 0.000 3.955
Tl W O
1 2 8
direct
0.000 0.000 0.000 Tl
0.333 0.667 0.749 W
0.667 0.333 0.251 W
0.175 0.350 0.743 O
0.175 0.825 0.743 O
0.333 0.667 0.246 O
0.350 0.175 0.257 O
0.650 0.825 0.743 O
0.667 0.333 0.754 O
0.825 0.175 0.257 O
0.825 0.650 0.257 O
```

Volume = 13.9 Å³/atom
Electronic total energy = -6.46 eV/atom
Space-group type = P-3m1, No. 164
Size of the total moment = 0.098 μB per atom

=====

No. 17
Here is TlW3O after structural relaxation from the Alexandria database. Energies are from PBE+U.

The structure in POSCAR format:
```
TlW3O
1.0
5.473 0.000 0.000
0.000 5.473 0.000
0.000 0.000 5.473
Tl W O
1 3 1
direct
0.000 0.000 0.000 Tl
0.000 0.000 0.500 W
0.000 0.500 0.000 W
0.500 0.000 0.000 W
0.500 0.500 0.500 O
```

Volume = 32.8 Å³/atom
Electronic total energy = -2.87 eV/atom
Energy relative to the lowest polymorph listed for this composition = 1980 meV/atom
Space-group type = Pm-3m, No. 221
Size of the total moment = 2.217 μB per atom